#P
The following is a PBE calculation of CaCeSc after structural relaxation, from Alexandria.

Volume = 30.6 A^3/atom
Space group = P3m1, No. 156
DOS(E_F) = 6.3 states/eV/f.u.

CIF file:
```
data_CaCeSc
_cell_length_a 3.4800
_cell_length_b 3.4800
_cell_length_c 8.7542
_cell_angle_alpha 90.00
_cell_angle_beta 90.00
_cell_angle_gamma 120.00
_symmetry_space_group_name_H-M 'P 1'
_symmetry_Int_Tables_number 1
loop_
_symmetry_equiv_pos_as_xyz
'x,y,z'
loop_
_atom_site_label
_atom_site_fract_x
_atom_site_fract_y
_atom_site_fract_z
Sc1 0.6667 0.3333 0.3476
Ca1 0.0000 0.0000 0.0079
Ce1 0.3333 0.6667 0.6446
```

=====

#Q
The following is a PBE calculation of CaCeSc after structural relaxation, from Alexandria.

Volume = 31.0 A^3/atom
Space group = I4mm, No. 107
DOS(E_F) = 7.4 states/eV/f.u.

CIF file:
```
data_CaCeSc
_cell_length_a 3.4541
_cell_length_b 3.4541
_cell_length_c 8.1770
_cell_angle_alpha 102.19
_cell_angle_beta 102.19
_cell_angle_gamma 90.00
_symmetry_space_group_name_H-M 'P 1'
_symmetry_Int_Tables_number 1
loop_
_symmetry_equiv_pos_as_xyz
'x,y,z'
loop_
_atom_site_label
_atom_site_fract_x
_atom_site_fract_y
_atom_site_fract_z
Sc1 0.6766 0.6766 0.3533
Ca1 0.0040 0.0040 0.0081
Ce1 0.3193 0.3193 0.6387
```

=====

In terms of stability, #P leads; the second structure lies 0.010 eV/atom higher.

=====

#P
The following is a PBE calculation of CaCe2Sc after structural relaxation, from Alexandria.

Volume = 30.5 A^3/atom
Space group = P4/mmm, No. 123
DOS(E_F) = 12.2 states/eV/f.u.

CIF file:
```
data_CaCe2Sc
_cell_length_a 3.3873
_cell_length_b 3.3873
_cell_length_c 10.6490
_cell_angle_alpha 90.00
_cell_angle_beta 90.00
_cell_angle_gamma 90.00
_symmetry_space_group_name_H-M 'P 1'
_symmetry_Int_Tables_number 1
loop_
_symmetry_equiv_pos_as_xyz
'x,y,z'
loop_
_atom_site_label
_atom_site_fract_x
_atom_site_fract_y
_atom_site_fract_z
Ce1 0.0000 0.0000 0.7751
Ce2 0.0000 0.0000 0.2249
Sc1 0.5000 0.5000 0.0000
Ca1 0.5000 0.5000 0.5000
```

=====

#Q
The following is a PBE calculation of CaCe2Sc after structural relaxation, from Alexandria.

Volume = 29.8 A^3/atom
Space group = R-3m, No. 166
DOS(E_F) = 11.7 states/eV/f.u.

CIF file:
```
data_CaCe2Sc
_cell_length_a 3.3371
_cell_length_b 3.3371
_cell_length_c 12.4917
_cell_angle_alpha 82.32
_cell_angle_beta 82.32
_cell_angle_gamma 60.00
_symmetry_space_group_name_H-M 'P 1'
_symmetry_Int_Tables_number 1
loop_
_symmetry_equiv_pos_as_xyz
'x,y,z'
loop_
_atom_site_label
_atom_site_fract_x
_atom_site_fract_y
_atom_site_fract_z
Ce1 0.0908 0.0908 0.7277
Ce2 0.9092 0.9092 0.2723
Ca1 0.0000 0.0000 0.0000
Sc1 0.5000 0.5000 0.5000
```

=====

In terms of stability, #P leads; the second structure lies 0.049 eV/atom higher.

=====

#P
The following is a PBE calculation of CaCeSe2 after structural relaxation, from Alexandria.

Volume = 27.0 A^3/atom
Space group = R3m, No. 160
DOS(E_F) = 6.8 states/eV/f.u.

CIF file:
```
data_CaCeSe2
_cell_length_a 4.0985
_cell_length_b 4.0985
_cell_length_c 7.7806
_cell_angle_alpha 74.73
_cell_angle_beta 74.73
_cell_angle_gamma 60.00
_symmetry_space_group_name_H-M 'P 1'
_symmetry_Int_Tables_number 1
loop_
_symmetry_equiv_pos_as_xyz
'x,y,z'
loop_
_atom_site_label
_atom_site_fract_x
_atom_site_fract_y
_atom_site_fract_z
Ce1 0.6690 0.6690 0.9929
Se1 0.0845 0.0845 0.7464
Se2 0.2501 0.2501 0.2497
Ca1 0.4963 0.4963 0.5111
```

=====

#Q
The following is a PBE calculation of CaCeSe2 after structural relaxation, from Alexandria.

Volume = 26.7 A^3/atom
Space group = P6_3/mmc, No. 194
DOS(E_F) = 6.7 states/eV/f.u.

CIF file:
```
data_CaCeSe2
_cell_length_a 4.1443
_cell_length_b 4.1443
_cell_length_c 14.3775
_cell_angle_alpha 90.00
_cell_angle_beta 90.00
_cell_angle_gamma 120.00
_symmetry_space_group_name_H-M 'P 1'
_symmetry_Int_Tables_number 1
loop_
_symmetry_equiv_pos_as_xyz
'x,y,z'
loop_
_atom_site_label
_atom_site_fract_x
_atom_site_fract_y
_atom_site_fract_z
Ca1 0.3333 0.6667 0.7500
Ca2 0.6667 0.3333 0.2500
Se1 0.3333 0.6667 0.3750
Se2 0.6667 0.3333 0.8750
Se3 0.6667 0.3333 0.6250
Se4 0.3333 0.6667 0.1250
Ce1 0.0000 0.0000 0.5000
Ce2 0.0000 0.0000 0.0000
```

=====

In terms of stability, #Q leads; the second structure lies 0.047 eV/atom higher.